1.
## MnCoAsO6 (PBE+U)

Data for MnCoAsO6 after structural relaxation.

crystal system = trigonal

The structure in CIF format:
```
data_MnCoAsO6
_chemical_formula_sum 'Mn2 Co2 As2 O12'
_symmetry_space_group_name_H-M 'P 1'
_symmetry_Int_Tables_number 1
_cell_length_a 4.9259
_cell_length_b 4.9259
_cell_length_c 8.7258
_cell_angle_alpha 90.00
_cell_angle_beta 90.00
_cell_angle_gamma 120.00
loop_
_symmetry_equiv_pos_as_xyz
'x,y,z'
loop_
_atom_site_label
_atom_site_fract_x
_atom_site_fract_y
_atom_site_fract_z
Mn1 0.3333 0.6667 0.2500
Mn2 0.6667 0.3333 0.7500
Co1 0.0000 0.0000 0.0000
Co2 0.0000 0.0000 0.5000
As1 0.3333 0.6667 0.7500
As2 0.6667 0.3333 0.2500
O1 0.0095 0.3596 0.6334
O2 0.0095 0.6499 0.8666
O3 0.3501 0.3596 0.8666
O4 0.3501 0.9905 0.6334
O5 0.3596 0.0095 0.1334
O6 0.3596 0.3501 0.3666
O7 0.6404 0.6499 0.6334
O8 0.6404 0.9905 0.8666
O9 0.6499 0.0095 0.3666
O10 0.6499 0.6404 0.1334
O11 0.9905 0.3501 0.1334
O12 0.9905 0.6404 0.3666
```


2.
## MnCoAs2O8 (PBE+U)

Data for MnCoAs2O8 after structural relaxation.

crystal system = trigonal

The structure in CIF format:
```
data_MnCoAs2O8
_chemical_formula_sum 'Mn1 Co1 As2 O8'
_symmetry_space_group_name_H-M 'P 1'
_symmetry_Int_Tables_number 1
_cell_length_a 5.4858
_cell_length_b 5.4858
_cell_length_c 5.9528
_cell_angle_alpha 90.00
_cell_angle_beta 90.00
_cell_angle_gamma 120.00
loop_
_symmetry_equiv_pos_as_xyz
'x,y,z'
loop_
_atom_site_label
_atom_site_fract_x
_atom_site_fract_y
_atom_site_fract_z
Mn1 0.0000 0.0000 0.0000
Co1 0.0000 0.0000 0.5000
As1 0.3333 0.6667 0.2044
As2 0.6667 0.3333 0.7956
O1 0.1574 0.3148 0.2824
O2 0.1574 0.8426 0.2824
O3 0.3148 0.1574 0.7176
O4 0.3333 0.6667 0.9215
O5 0.6667 0.3333 0.0785
O6 0.6852 0.8426 0.2824
O7 0.8426 0.1574 0.7176
O8 0.8426 0.6852 0.7176
```


| no. | calculated total energy (hartree per atom) | total moment (Bohr magnetons per cell) |
| --- | --- | --- |
| 1 | -0.2319 | 10.30 |
| 2 | -0.2248 | 7.96 |